(1)
3
Lattice="0.000 3.537 3.537 3.537 0.000 3.537 3.537 3.537 0.000" Properties=species:S:1:pos:R:3 comment="BaSmCo, relaxed, DFT PBE-GGA" total_magnetization_mub_per_fu=0.00 spacegroup=F-43m pbc="T T T"
Ba 0.000 0.000 0.000
Sm 3.537 3.537 3.537
Co 1.768 1.768 1.768

(2)
6
Lattice="4.008 0.000 0.000 0.000 4.008 0.000 0.000 0.000 6.665" Properties=species:S:1:pos:R:3 comment="HoErCo2Ge2, relaxed, DFT PBE-GGA" total_magnetization_mub_per_fu=0.03 spacegroup=P4mm pbc="T T T"
Ho 0.000 0.000 0.000
Er 2.004 2.004 4.208
Co 0.000 2.004 2.115
Co 2.004 0.000 2.115
Ge 0.000 0.000 3.499
Ge 2.004 2.004 0.732

(3)
6
Lattice="4.704 0.000 0.000 -2.352 4.074 0.000 0.000 0.000 7.451" Properties=species:S:1:pos:R:3 comment="TbSnAu, relaxed, DFT PBE-GGA" total_magnetization_mub_per_fu=0.00 spacegroup=P6_3mc pbc="T T T"
Tb 0.000 0.000 0.000
Tb 0.000 0.000 3.726
Sn 0.000 2.716 1.682
Sn 2.352 1.358 5.408
Au 0.000 2.716 6.149
Au 2.352 1.358 2.424

(4)
3
Lattice="0.000 2.466 2.466 2.466 0.000 2.466 2.466 2.466 0.000" Properties=species:S:1:pos:R:3 comment="BeCuB, relaxed, DFT PBE-GGA" spacegroup=F-43m pbc="T T T"
Be 0.000 0.000 0.000
Cu 3.700 3.700 3.700
B 2.466 2.466 2.466

(5)
4
Lattice="4.158 0.000 0.000 0.000 4.158 0.000 0.000 0.000 2.949" Properties=species:S:1:pos:R:3 comment="Al2CoIr, relaxed, DFT PBE-GGA" total_magnetization_mub_per_fu=0.13 spacegroup=P4/mmm pbc="T T T"
Al 0.000 2.079 0.000
Al 2.079 0.000 0.000
Co 0.000 0.000 1.474
Ir 2.079 2.079 1.474

(6)
7
Lattice="6.131 -1.662 0.000 6.131 1.662 0.000 -2.343 0.000 5.386" Properties=species:S:1:pos:R:3 comment="YTm2MoC3, relaxed, DFT PBE-GGA" total_magnetization_mub_per_fu=0.01 spacegroup=Cm pbc="T T T"
Y 0.000 0.000 0.000
Tm 1.921 0.000 2.926
Tm 5.232 0.000 2.661
Mo 8.964 0.000 0.138
C -0.168 0.000 4.157
C 4.235 0.000 0.216
C 7.365 0.000 1.422

(7)
16
Lattice="6.428 0.000 0.000 0.000 3.848 0.000 0.000 0.000 13.589" Properties=species:S:1:pos:R:3 comment="AgPbSO, relaxed, DFT PBE-GGA" spacegroup=Pnma pbc="T T T"
Ag 1.063 0.962 1.220
Ag 2.151 2.886 8.015
Ag 4.277 0.962 5.574
Ag 5.365 2.886 12.369
Pb 0.676 2.886 4.579
Pb 2.538 0.962 11.373
Pb 3.890 2.886 2.216
Pb 5.752 0.962 9.010
S 1.447 2.886 12.994
S 1.767 0.962 6.199
S 4.661 2.886 7.390
S 4.981 0.962 0.595
O 1.562 0.962 9.371
O 1.653 2.886 2.577
O 4.776 0.962 11.012
O 4.867 2.886 4.218

(8)
9
Lattice="5.781 0.000 0.000 0.000 5.781 0.000 0.000 0.000 5.781" Properties=species:S:1:pos:R:3 comment="KOsAu3O4, relaxed, DFT PBE-GGA" total_magnetization_mub_per_fu=1.62 spacegroup=P-43m pbc="T T T"
K 0.000 0.000 0.000
Os 2.891 2.891 2.891
Au 0.000 2.891 2.891
Au 2.891 0.000 2.891
Au 2.891 2.891 0.000
O 1.779 1.779 1.779
O 1.779 4.003 4.003
O 4.003 1.779 4.003
O 4.003 4.003 1.779

(9)
4
Lattice="0.000 3.789 3.789 3.789 0.000 3.789 3.789 3.789 0.000" Properties=species:S:1:pos:R:3 comment="CoBr3, relaxed, DFT PBE-GGA" total_magnetization_mub_per_fu=0.37 spacegroup=Fm-3m pbc="T T T"
Co 0.000 0.000 0.000
Br 1.894 1.894 1.894
Br 3.789 3.789 3.789
Br 5.683 5.683 5.683

(10)
17
Lattice="-4.252 4.252 4.252 4.252 -4.252 4.252 4.252 4.252 -4.252" Properties=species:S:1:pos:R:3 comment="Tm4Ga12Fe, relaxed, DFT PBE-GGA" total_magnetization_mub_per_fu=1.41 spacegroup=Im-3m pbc="T T T"
Tm 2.126 2.126 -2.126
Tm 2.126 -2.126 2.126
Tm -2.126 2.126 2.126
Tm 2.126 2.126 2.126
Ga 2.418 0.000 0.000
Ga 6.085 0.000 0.000
Ga 4.252 2.126 0.000
Ga 4.252 0.000 2.126
Ga 0.000 2.418 0.000
Ga 0.000 0.000 2.418
Ga 2.126 4.252 0.000
Ga 2.126 0.000 4.252
Ga 0.000 6.085 0.000
Ga 0.000 0.000 6.085
Ga 0.000 4.252 2.126
Ga 0.000 2.126 4.252
Fe 0.000 0.000 0.000

(11)
14
Lattice="-3.745 3.745 3.745 3.745 -3.745 3.745 3.745 3.745 -3.745" Properties=species:S:1:pos:R:3 comment="Li2Pd2S3, relaxed, DFT PBE-GGA" spacegroup=I2_13 pbc="T T T"
Li 3.191 0.555 -0.555
Li 0.555 0.555 0.555
Li 0.555 -0.555 3.191
Li -0.555 3.191 0.555
Pd 4.999 -1.254 1.254
Pd 1.254 4.999 -1.254
Pd 2.492 2.492 2.492
Pd -1.254 1.254 4.999
S 5.618 0.927 0.000
S 2.819 0.000 1.873
S 1.873 2.819 0.000
S 0.000 1.873 2.819
S 0.927 0.000 5.618
S 0.000 5.618 0.927

(12)
12
Lattice="3.633 0.000 0.000 0.000 9.561 0.000 0.000 0.000 5.558" Properties=species:S:1:pos:R:3 comment="ZrBe, relaxed, DFT PBE-GGA" total_magnetization_mub_per_fu=0.00 spacegroup=Pmc2_1 pbc="T T T"
Zr 0.000 0.987 0.000
Zr 0.000 3.789 1.576
Zr 0.000 5.771 4.355
Zr 0.000 8.573 2.779
Zr 1.816 1.563 2.834
Zr 1.816 7.998 0.055
Be 0.000 3.167 4.140
Be 0.000 6.394 1.361
Be 1.816 3.230 5.284
Be 1.816 4.180 3.365
Be 1.816 5.380 0.586
Be 1.816 6.330 2.505

no.,energy (eV per atom)
1,-4.20
2,-6.09
3,-4.80
4,-4.13
5,-6.62
6,-7.93
7,-4.22
8,-4.57
9,-1.97
10,-4.19
11,-4.37
12,-6.19